Entry from OQMD: Co9Pb after structural relaxation (PBE-GGA).

It has space group Pmmn (No. 59, origin choice 2), with a = 2.647 Å, b = 3.354 Å, c = 34.076 Å, α = 90.00°, β = 90.00° and γ = 90.00°. The asymmetric unit holds Co at (0.250, 0.250, 0.017), Co at (0.250, 0.250, 0.091), Co at (0.250, 0.250, 0.164), Co at (0.250, 0.250, 0.236), Co at (0.250, 0.250, 0.308), Co at (0.250, 0.250, 0.726), Co at (0.250, 0.250, 0.799), Co at (0.250, 0.250, 0.872), Co at (0.250, 0.250, 0.945) and Pb at (0.250, 0.250, 0.634).

The energy is -6.60 eV/atom. As for the magnetic moment: 14.621 μB per formula unit. For the offset from the most stable computed form, the calculation gives 0 meV per atom. As for the crystal system: orthorhombic.